Density functional theory data (GGA-PBE) for a relaxed ErMgAs2Pd5 crystal.

a b c (Å): 4.1997 4.1997 8.8027
angles (deg): 90.00 90.00 90.00
With the nearest neighbours (Å) after each atom.
Atoms (fractional coordinates):
Pd 0.0000 0.5000 0.7168  2 As 2.45
Pd 0.5000 0.5000 0.5000  8 Pd 2.84, 4 Mg 2.97
Pd 0.5000 0.0000 0.7168  2 As 2.45
Pd 0.0000 0.5000 0.2832  2 As 2.45
Er 0.0000 0.0000 0.0000  8 As 3.21, 8 Pd 3.26
As 0.5000 0.5000 0.1389  1 As 2.45, 4 Pd 2.45
Mg 0.0000 0.0000 0.5000  12 Pd 2.84-2.97
As 0.5000 0.5000 0.8611  1 As 2.45, 4 Pd 2.45
Pd 0.5000 0.0000 0.2832  2 As 2.45

ΔH_f (0 K): -68.3 kJ per mole of atoms
VASP energy: -5.31 eV/atom
Space-group type: P4/mmm (123)
Total moment: 0.00 μB/f.u.